AcNp2NiO8: optimized geometry, GGA+U.

It has space group Cmmm (No. 65), with a = 6.9324 Å, b = 7.4449 Å, c = 7.0251 Å, α = 90.00°, β = 90.00° and γ = 90.00°. The asymmetric unit holds Ac at (0.0000, 0.0000, 0.0000), Np at (0.0000, 0.5000, 0.2624), Ni at (0.0000, 0.0000, 0.5000), O at (0.0000, 0.3185, 0.5000), O at (0.0000, 0.3304, 0.0000) and O at (0.2103, 0.0000, 0.2835).

As for the magnetization: 5.0 μB per formula unit. For the volume, the calculation gives 363 Å³/cell. The value obtained for the energy is -207.89 eV for the cell shown. As for the density of states at the Fermi level: 0.4593 states/eV/atom.